## K4TcGeSe6 (GGA-PBE)

Data for K4TcGeSe6 after structural relaxation.

Values from the calculation:
- Final energy: -4.17 eV per atom

abc: 6.844 7.438 9.019
angles: 73.37 72.90 67.16
Fractional coordinates of all 12 atoms:
K 0.000 0.000 0.000
K 0.226 0.392 0.225
K 0.475 0.713 0.424
K 0.771 0.653 0.786
Tc 0.472 0.251 0.800
Ge 0.763 0.129 0.419
Se 0.279 0.580 0.828
Se 0.396 0.160 0.595
Se 0.484 0.003 0.028
Se 0.752 0.379 0.188
Se 0.825 0.224 0.645
Se 0.958 0.796 0.387

---

## LaHfGaIr2 (GGA-PBE)

Data for LaHfGaIr2 after structural relaxation.

Values from the calculation:
- Final energy: -7.73 eV per atom

abc: 6.474 6.474 6.474
angles: 141.19 141.19 56.05
Fractional coordinates of all 5 atoms:
La 0.000 0.000 0.000
Hf 0.657 0.657 0.000
Ga 0.405 0.405 0.000
Ir 0.284 0.784 0.500
Ir 0.784 0.284 0.500

---

## LiTm4Se5 (GGA-PBE)

Data for LiTm4Se5 after structural relaxation.

Values from the calculation:
- Final energy: -5.41 eV per atom

abc: 6.914 6.914 6.914
angles: 99.58 99.58 131.85
Fractional coordinates of all 10 atoms:
Li 0.000 0.000 0.000
Tm 0.198 0.598 0.799
Tm 0.399 0.198 0.600
Tm 0.598 0.799 0.400
Tm 0.799 0.399 0.201
Se 0.095 0.291 0.389
Se 0.291 0.902 0.196
Se 0.499 0.499 0.000
Se 0.706 0.095 0.804
Se 0.902 0.706 0.611

---

## Nd2Y2CI2Br2Cl (GGA-PBE)

Data for Nd2Y2CI2Br2Cl after structural relaxation.

Values from the calculation:
- Offset from the most stable computed form: 0.033 eV per atom

abc: 9.499 9.499 8.210
angles: 101.38 101.38 23.68
Fractional coordinates of all 10 atoms:
Nd 0.137 0.137 0.064
Nd 0.863 0.863 0.936
Y 0.498 0.498 0.203
Y 0.502 0.502 0.797
C 0.000 0.000 0.000
I 0.337 0.337 0.635
I 0.663 0.663 0.365
Br 0.337 0.337 0.191
Br 0.663 0.663 0.809
Cl 0.000 0.000 0.500

---

## Lu4PPbN2 (GGA-PBE)

Data for Lu4PPbN2 after structural relaxation.

Values from the calculation:
- Final energy: -6.79 eV per atom

abc: 3.546 3.546 13.620
angles: 90.00 90.00 120.00
Fractional coordinates of all 8 atoms:
Lu 0.000 0.000 0.128
Lu 0.000 0.000 0.872
Lu 0.333 0.667 0.317
Lu 0.333 0.667 0.683
P 0.333 0.667 0.000
Pb 0.000 0.000 0.500
N 0.667 0.333 0.232
N 0.667 0.333 0.768

---

## ScZn2Au2 (GGA-PBE)

Data for ScZn2Au2 after structural relaxation.

Values from the calculation:
- Energy relative to the elements: -1.5 eV per formula unit
- Offset from the most stable computed form: 0.158 eV per atom

abc: 6.230 6.230 6.230
angles: 141.44 141.44 55.67
Fractional coordinates of all 5 atoms:
Sc 0.000 0.000 0.000
Zn 0.395 0.395 0.000
Zn 0.605 0.605 0.000
Au 0.250 0.750 0.500
Au 0.750 0.250 0.500

---

## CdPO3 (GGA-PBE)

Data for CdPO3 after structural relaxation.

Values from the calculation:
- Final energy: -5.79 eV per atom

abc: 6.183 6.183 6.183
angles: 50.92 50.92 50.92
Fractional coordinates of all 10 atoms:
Cd 0.165 0.165 0.165
Cd 0.835 0.835 0.835
P 0.435 0.435 0.435
P 0.565 0.565 0.565
O 0.127 0.414 0.697
O 0.303 0.873 0.586
O 0.414 0.697 0.127
O 0.586 0.303 0.873
O 0.697 0.127 0.414
O 0.873 0.586 0.303

---

## CsRbTcSe2S (GGA-PBE)

Data for CsRbTcSe2S after structural relaxation.

Values from the calculation:
- Final energy: -4.65 eV per atom

abc: 7.968 7.968 10.295
angles: 121.84 121.84 54.50
Fractional coordinates of all 12 atoms:
Cs 0.203 0.203 0.319
Cs 0.797 0.797 0.681
Rb 0.418 0.418 0.131
Rb 0.582 0.582 0.869
Tc 0.111 0.111 0.663
Tc 0.889 0.889 0.337
Se 0.113 0.113 0.894
Se 0.265 0.735 0.500
Se 0.735 0.265 0.500
Se 0.887 0.887 0.106
S 0.292 0.292 0.730
S 0.708 0.708 0.270

---

## Y2LuGe (GGA-PBE)

Data for Y2LuGe after structural relaxation.

Values from the calculation:
- Final energy: -5.58 eV per atom

abc: 5.241 5.241 5.241
angles: 60.00 60.00 60.00
Fractional coordinates of all 4 atoms:
Y 0.000 0.000 0.000
Y 0.250 0.250 0.250
Lu 0.750 0.750 0.750
Ge 0.500 0.500 0.500

---

## GdInAg2O4 (GGA-PBE)

Data for GdInAg2O4 after structural relaxation.

Values from the calculation:
- Final energy: -5.73 eV per atom

abc: 3.426 3.426 12.603
angles: 90.00 90.00 120.00
Fractional coordinates of all 8 atoms:
Gd 0.000 0.000 0.000
In 0.000 0.000 0.500
Ag 0.333 0.667 0.253
Ag 0.667 0.333 0.747
O 0.333 0.667 0.089
O 0.333 0.667 0.419
O 0.667 0.333 0.581
O 0.667 0.333 0.911

---

## Li4ZnIn2Ni (GGA-PBE)

Data for Li4ZnIn2Ni after structural relaxation.

Values from the calculation:
- Final energy: -2.73 eV per atom

abc: 4.430 4.430 6.344
angles: 90.00 90.00 90.00
Fractional coordinates of all 8 atoms:
Li 0.000 0.000 0.000
Li 0.000 0.500 0.743
Li 0.500 0.000 0.257
Li 0.500 0.500 0.500
Zn 0.500 0.500 0.000
In 0.000 0.500 0.269
In 0.500 0.000 0.731
Ni 0.000 0.000 0.500

---

## Dy5Fe2B6 (GGA-PBE)

Data for Dy5Fe2B6 after structural relaxation.

Values from the calculation:
- Final energy: -6.63 eV per atom

abc: 8.260 8.260 8.260
angles: 38.21 38.21 38.21
Fractional coordinates of all 13 atoms:
Dy 0.000 0.000 0.000
Dy 0.251 0.251 0.251
Dy 0.416 0.416 0.416
Dy 0.584 0.584 0.584
Dy 0.749 0.749 0.749
Fe 0.118 0.118 0.118
Fe 0.882 0.882 0.882
B 0.168 0.500 0.832
B 0.168 0.832 0.500
B 0.500 0.168 0.832
B 0.500 0.832 0.168
B 0.832 0.168 0.500
B 0.832 0.500 0.168

---

Number 1: ρ 3.352 g cm⁻³. Number 2: ρ 12.114 g cm⁻³. Number 3: ρ 7.961 g cm⁻³. Number 4: ρ 5.284 g cm⁻³. Number 5: ρ 10.815 g cm⁻³. Number 6: ρ 10.145 g cm⁻³. Number 7: ρ 4.838 g cm⁻³. Number 8: ρ 3.926 g cm⁻³. Number 9: ρ 6.939 g cm⁻³. Number 10: ρ 7.152 g cm⁻³. Number 11: ρ 5.089 g cm⁻³. Number 12: ρ 8.482 g cm⁻³.